Entry 1:
Computed, not measured: a PBEsol-optimized structure of Y2PSe at the SCAN level of DFT.

Values from the calculation:
For the energy relative to the elements, uncorrected, the calculation gives -1.492 eV/atom.

Lattice parameters (Å, degrees): 4.906 4.906 4.906 60.00 60.00 60.00
Fractional positions:
P 0.000 0.000 0.000
Se 0.500 0.500 0.500
Y 0.250 0.250 0.250
Y 0.750 0.750 0.750

Entry 2:
Computed, not measured: a PBEsol-optimized structure of La4TaFe at the SCAN level of DFT.

Values from the calculation:
The value obtained for the formation energy is 1.08 eV/atom.

Lattice parameters (Å, degrees): 6.122 6.122 6.122 60.00 60.00 60.00
Fractional positions:
Fe 0.000 0.000 0.000
La 0.375 0.375 0.375
La 0.375 0.375 0.875
La 0.875 0.375 0.375
La 0.375 0.875 0.375
Ta 0.750 0.750 0.750

Entry 3:
Computed, not measured: a PBEsol-optimized structure of BeAl2Mo at the SCAN level of DFT.

Values from the calculation:
The value obtained for the formation energy is -0.30 eV/atom.

Lattice parameters (Å, degrees): 3.596 3.596 4.823 111.89 111.89 90.00
Fractional positions:
Be 0.500 0.500 0.000
Mo 0.250 0.750 0.500
Al 0.000 0.000 0.000
Al 0.750 0.250 0.500

Entry 4:
Computed, not measured: a PBEsol-optimized structure of CdHg2Pb at the SCAN level of DFT.

Values from the calculation:
The value obtained for the formation energy is 0.05 eV/atom.

Lattice parameters (Å, degrees): 3.322 3.322 9.576 90.00 90.00 111.40
Fractional positions:
Pb 0.500 0.500 0.500
Hg 0.000 0.000 0.234
Hg 0.000 0.000 0.766
Cd 0.500 0.500 0.000

Entry 5:
Computed, not measured: a PBEsol-optimized structure of Mg5In at the SCAN level of DFT.

Values from the calculation:
The value obtained for the formation energy is -0.09 eV/atom.

Lattice parameters (Å, degrees): 5.478 5.478 6.060 63.13 63.13 60.00
Fractional positions:
Mg 0.500 0.835 0.500
Mg 0.165 0.500 0.500
Mg 0.835 0.165 0.500
Mg 0.333 0.333 0.002
Mg 0.667 0.667 0.998
In 0.000 0.000 0.000

Entry 6:
Computed, not measured: a PBEsol-optimized structure of ScTaW at the SCAN level of DFT.

Values from the calculation:
The value obtained for the formation energy is 0.95 eV/atom.

Lattice parameters (Å, degrees): 4.425 4.425 4.425 60.00 60.00 60.00
Fractional positions:
Sc 0.500 0.500 0.500
Ta 0.250 0.250 0.250
W 0.000 0.000 0.000

Going through the records in order, we get M_tot values of 0.168; 0.782; 0.000; 0.000; 0.000; 0.000 μB/atom.